Entry 1:
A geometry-optimized TaGeAs2Br structure, computed with GGA-PBEsol.

a b c (Å): 4.7911 4.7911 4.8581
angles (deg): 90.00 90.00 90.00
Closest atoms and distances in Å follow each position.
Fractional positions:
1 As 0.0000 0.5000 0.0000  2 Ge 2.40
2 As 0.5000 0.0000 0.0000  2 Ge 2.40
3 Ge 0.0000 0.0000 0.0000  4 As 2.40, 2 Br 2.43
4 Br 0.0000 0.0000 0.5000  2 Ge 2.43
5 Ta 0.5000 0.5000 0.5000  4 Br 3.39, 8 As 3.41

Results
As for the total magnetic moment: 1.68 Bohr magnetons per cell. The value obtained for the density of states at the Fermi level is 4.452 states/eV/cell. The total energy is -23.8 eV for the cell shown. Its uncorrected formation energy is 1.154 eV/atom. The space-group type is P4/mmm.

Entry 2:
A geometry-optimized SrAgP2 structure, computed with GGA-PBEsol.

a b c (Å): 3.6810 3.6810 6.0715
angles (deg): 90.00 90.00 90.00
Closest atoms and distances in Å follow each position.
Fractional positions:
1 Ag 0.5000 0.5000 0.5000  8 P 2.83, 2 Sr 3.04
2 P 0.0000 0.0000 0.6810  1 P 2.20
3 P 0.0000 0.0000 0.3190  1 P 2.20
4 Sr 0.5000 0.5000 0.0000  2 Ag 3.04, 8 P 3.24

Results
As for the total magnetic moment: 0.00 Bohr magnetons per cell. The calculation puts the formation energy from the elements at -17.09 kJ/mol of atoms. The value obtained for the density of states at the Fermi level is 2.125 states/eV/cell. The total energy is -17.4 eV for the cell shown. The space-group type is P4/mmm.

Entry 3:
A geometry-optimized VCr2Ni3P6O24 structure, computed with GGA-PBEsol.

a b c (Å): 8.1656 8.1656 8.1656
angles (deg): 62.53 62.53 62.53
Closest atoms and distances in Å follow each position.
Fractional positions:
1 V 0.1451 0.1451 0.1451  6 O 1.78-1.98
2 Cr 0.0000 0.0000 0.0000  6 O 2.01-2.03
3 Cr 0.4973 0.4973 0.4973  6 O 1.99-2.00
4 Ni 0.6395 0.6395 0.6395  6 O 1.93-2.08
5 Ni 0.8580 0.8580 0.8580  6 O 1.90-2.01
6 Ni 0.3596 0.3596 0.3596  6 O 1.90-1.99
7 P 0.2525 0.5501 0.9543  4 O 1.49-1.58
8 P 0.9543 0.2525 0.5501  4 O 1.49-1.58
9 P 0.5501 0.9543 0.2525  4 O 1.49-1.58
10 P 0.4558 0.0416 0.7498  4 O 1.50-1.62
11 P 0.0416 0.7498 0.4558  4 O 1.50-1.62
12 P 0.7498 0.4558 0.0416  4 O 1.50-1.62
13 O 0.1103 0.3263 0.5093  1 P 1.49
14 O 0.5093 0.1103 0.3263  1 P 1.49
15 O 0.3263 0.5093 0.1103  1 P 1.49
16 O 0.0976 0.7554 0.9335  1 P 1.56
17 O 0.1689 0.3818 0.0185  1 P 1.58
18 O 0.4008 0.5448 0.7507  1 P 1.55
19 O 0.9335 0.0976 0.7554  1 P 1.56
20 O 0.7507 0.4008 0.5448  1 P 1.55
21 O 0.6057 0.0042 0.8317  1 P 1.50
22 O 0.5448 0.7507 0.4008  1 P 1.55
23 O 0.2418 0.0715 0.9092  1 P 1.62
24 O 0.0042 0.8317 0.6057  1 P 1.50
25 O 0.0185 0.1689 0.3818  1 P 1.58
26 O 0.7554 0.9335 0.0976  1 P 1.56
27 O 0.4398 0.2509 0.5952  1 P 1.58
28 O 0.3818 0.0185 0.1689  1 P 1.58
29 O 0.2509 0.5952 0.4398  1 P 1.58
30 O 0.0715 0.9092 0.2418  1 P 1.62
31 O 0.5952 0.4398 0.2509  1 P 1.58
32 O 0.8317 0.6057 0.0042  1 P 1.50
33 O 0.9092 0.2418 0.0715  1 P 1.62
34 O 0.6857 0.4770 0.8859  1 P 1.50
35 O 0.4770 0.8859 0.6857  1 P 1.50
36 O 0.8859 0.6857 0.4770  1 P 1.50

Results
As for the total magnetic moment: 11.35 Bohr magnetons per cell. The value obtained for the density of states at the Fermi level is 12.543 states/eV/cell. The total energy is -274.5 eV for the cell shown. Its uncorrected formation energy is -1.809 eV/atom. The space-group type is R3.

Entry 4:
A geometry-optimized Hg2SbAs structure, computed with GGA-PBEsol.

a b c (Å): 3.2427 5.7194 5.7194
angles (deg): 114.10 100.55 100.55
Closest atoms and distances in Å follow each position.
Fractional positions:
1 Sb 0.5000 0.0000 0.0000  4 Hg 3.02, 2 As 3.11, 2 Sb 3.24
2 As 0.5000 0.5000 0.5000  4 Hg 3.02, 2 Sb 3.11, 2 As 3.24
3 Hg 0.0000 0.5000 0.0000  2 Sb 3.02, 2 As 3.02, 4 Hg 3.11-3.24
4 Hg 0.0000 0.0000 0.5000  2 As 3.02, 2 Sb 3.02, 4 Hg 3.11-3.24

Results
As for the total magnetic moment: 0.00 Bohr magnetons per cell. The value obtained for the density of states at the Fermi level is 1.924 states/eV/cell. The total energy is -9.8 eV for the cell shown. Its uncorrected formation energy is 0.243 eV/atom. The space-group type is C2/m.

Entry 5:
A geometry-optimized LiInC3 structure, computed with GGA-PBEsol.

a b c (Å): 3.7677 3.7677 3.7677
angles (deg): 90.00 90.00 90.00
Closest atoms and distances in Å follow each position.
Fractional positions:
1 C 0.0000 0.5000 0.0000  2 Li 1.88
2 C 0.0000 0.0000 0.5000  2 Li 1.88
3 C 0.5000 0.0000 0.0000  2 Li 1.88
4 Li 0.0000 0.0000 0.0000  6 C 1.88
5 In 0.5000 0.5000 0.5000  12 C 2.66

Results
As for the total magnetic moment: 0.00 Bohr magnetons per cell. The calculation puts the formation energy from the elements at 256.63 kJ/mol of atoms. The value obtained for the density of states at the Fermi level is 2.268 states/eV/cell. The total energy is -20.6 eV for the cell shown. The space-group type is Pm-3m.

Entry 6:
A geometry-optimized MgAsIr2 structure, computed with GGA-PBEsol.

a b c (Å): 2.9690 4.3167 4.6974
angles (deg): 90.00 90.00 90.00
Closest atoms and distances in Å follow each position.
Fractional positions:
1 As 0.0000 0.5000 0.5000  4 Ir 2.62, 4 Mg 2.78
2 Ir 0.0000 0.0000 0.0000  4 Mg 2.62, 4 Ir 2.78
3 Ir 0.5000 0.0000 0.5000  4 As 2.62, 4 Ir 2.78
4 Mg 0.5000 0.5000 0.0000  4 Ir 2.62, 4 As 2.78

Results
As for the total magnetic moment: 0.00 Bohr magnetons per cell. The calculation puts the formation energy from the elements at 5.61 kJ/mol of atoms. The value obtained for the density of states at the Fermi level is 2.766 states/eV/cell. The total energy is -26.2 eV for the cell shown. The space-group type is Pmmm.

Entry 7:
A geometry-optimized PrSi3N5 structure, computed with GGA-PBEsol.

a b c (Å): 4.7805 7.8372 11.2034
angles (deg): 90.00 90.00 90.00
Closest atoms and distances in Å follow each position.
Fractional positions:
1 Pr 0.5068 0.0627 0.1698  4 N 2.41-2.68
2 Pr 0.9932 0.9373 0.6698  4 N 2.41-2.68
3 Pr 0.4932 0.5627 0.3302  4 N 2.41-2.68
4 Pr 0.0068 0.4373 0.8302  4 N 2.41-2.68
5 Si 0.0156 0.2076 0.4167  4 N 1.70-1.77
6 Si 0.4844 0.7924 0.9167  4 N 1.70-1.77
7 Si 0.9844 0.7076 0.0833  4 N 1.70-1.77
8 Si 0.5156 0.2924 0.5833  4 N 1.70-1.77
9 Si 0.5266 0.4672 0.0413  4 N 1.68-1.77
10 Si 0.9734 0.5328 0.5413  4 N 1.68-1.77
11 Si 0.4734 0.9672 0.4587  4 N 1.68-1.77
12 Si 0.0266 0.0328 0.9587  4 N 1.68-1.77
13 Si 0.0177 0.3391 0.1619  4 N 1.69-1.80
14 Si 0.4823 0.6609 0.6619  4 N 1.69-1.80
15 Si 0.9823 0.8391 0.3381  4 N 1.69-1.80
16 Si 0.5177 0.1609 0.8381  4 N 1.69-1.80
17 N 0.1756 0.2933 0.2956  2 Si 1.70-1.71
18 N 0.3244 0.7067 0.7956  2 Si 1.70-1.71
19 N 0.8244 0.7933 0.2044  2 Si 1.70-1.71
20 N 0.6756 0.2067 0.7044  2 Si 1.70-1.71
21 N 0.1880 0.5200 0.0946  3 Si 1.77-1.80
22 N 0.3120 0.4800 0.5946  3 Si 1.77-1.80
23 N 0.8120 0.0200 0.4054  3 Si 1.77-1.80
24 N 0.6880 0.9800 0.9054  3 Si 1.77-1.80
25 N 0.6720 0.3890 0.1694  2 Si 1.70-1.71
26 N 0.8280 0.6110 0.6694  2 Si 1.70-1.71
27 N 0.3280 0.8890 0.3306  2 Si 1.70-1.71
28 N 0.1720 0.1110 0.8306  2 Si 1.70-1.71
29 N 0.0449 0.1580 0.0803  2 Si 1.68-1.69
30 N 0.4551 0.8420 0.5803  2 Si 1.68-1.69
31 N 0.9551 0.6580 0.4197  2 Si 1.68-1.69
32 N 0.5449 0.3420 0.9197  2 Si 1.68-1.69
33 N 0.2902 0.1480 0.5131  3 Si 1.75-1.77
34 N 0.2098 0.8520 0.0131  3 Si 1.75-1.77
35 N 0.7098 0.6480 0.9869  3 Si 1.75-1.77
36 N 0.7902 0.3520 0.4869  3 Si 1.75-1.77

Results
As for the total magnetic moment: 0.00 Bohr magnetons per cell. The value obtained for the density of states at the Fermi level is 0.000 states/eV/cell. The total energy is -310.3 eV for the cell shown. Its uncorrected formation energy is -1.392 eV/atom. The space-group type is P2_12_12_1.

Entry 8:
A geometry-optimized ZrCo2Tc2 structure, computed with GGA-PBEsol.

a b c (Å): 3.8273 3.8273 5.7773
angles (deg): 109.34 109.34 90.00
Closest atoms and distances in Å follow each position.
Fractional positions:
1 Co 0.2500 0.7500 0.5000  4 Tc 2.38
2 Co 0.7500 0.2500 0.5000  4 Tc 2.38
3 Tc 0.3885 0.3885 0.7769  1 Tc 2.28, 4 Co 2.38
4 Tc 0.6115 0.6115 0.2231  1 Tc 2.28, 4 Co 2.38
5 Zr 0.0000 0.0000 0.0000  8 Tc 2.94, 8 Co 3.19

Results
As for the total magnetic moment: 1.84 Bohr magnetons per cell. The calculation puts the formation energy from the elements at 13.14 kJ/mol of atoms. The value obtained for the density of states at the Fermi level is 4.470 states/eV/cell. The total energy is -46.4 eV for the cell shown. The space-group type is I4/mmm.

Entry 9:
A geometry-optimized Ca2LaRh structure, computed with GGA-PBEsol.

a b c (Å): 3.5346 3.5346 9.5860
angles (deg): 90.00 90.00 90.14
Closest atoms and distances in Å follow each position.
Fractional positions:
1 Ca 0.0000 0.0000 0.0718  4 Rh 3.09-3.10, 1 La 3.31
2 Ca 0.5000 0.5000 0.7488  4 Ca 3.53
3 Rh 0.5000 0.5000 0.2625  4 La 2.90-2.91, 4 Ca 3.09-3.10
4 La 0.0000 0.0000 0.4169  4 Rh 2.90-2.91

Results
As for the total magnetic moment: 0.00 Bohr magnetons per cell. The calculation puts the formation energy from the elements at -25.02 kJ/mol of atoms. The value obtained for the density of states at the Fermi level is 4.445 states/eV/cell. The total energy is -18.8 eV for the cell shown. The space-group type is Cmm2.

Entry 10:
A geometry-optimized Y4FeSb structure, computed with GGA-PBEsol.

a b c (Å): 6.0569 6.0569 6.0569
angles (deg): 60.00 60.00 60.00
Closest atoms and distances in Å follow each position.
Fractional positions:
1 Fe 0.7500 0.7500 0.7500  12 Y 3.55, 4 Sb 3.71
2 Sb 0.0000 0.0000 0.0000  12 Y 3.55, 4 Fe 3.71
3 Y 0.3753 0.3753 0.3753  6 Y 3.02-3.04
4 Y 0.3753 0.3753 0.8741  6 Y 3.02-3.04
5 Y 0.8741 0.3753 0.3753  6 Y 3.02-3.04
6 Y 0.3753 0.8741 0.3753  6 Y 3.02-3.04

Results
As for the total magnetic moment: 2.78 Bohr magnetons per cell. The value obtained for the density of states at the Fermi level is 8.721 states/eV/cell. The total energy is -37.5 eV for the cell shown. Its uncorrected formation energy is 0.550 eV/atom. The space-group type is F-43m.

Entry 11:
A geometry-optimized ZrTaCr structure, computed with GGA-PBEsol.

a b c (Å): 4.4078 4.4078 4.4078
angles (deg): 60.00 60.00 60.00
Closest atoms and distances in Å follow each position.
Fractional positions:
1 Cr 0.0000 0.0000 0.0000  4 Zr 2.70
2 Ta 0.5000 0.5000 0.5000  4 Zr 2.70
3 Zr 0.2500 0.2500 0.2500  4 Cr 2.70, 4 Ta 2.70

Results
As for the total magnetic moment: 1.49 Bohr magnetons per cell. The calculation puts the formation energy from the elements at 134.09 kJ/mol of atoms. The value obtained for the density of states at the Fermi level is 3.153 states/eV/cell. The total energy is -27.7 eV for the cell shown. The space-group type is F-43m.

Entry 12:
A geometry-optimized AlZnCu2 structure, computed with GGA-PBEsol.

a b c (Å): 2.7383 4.4602 4.4791
angles (deg): 102.60 90.00 107.88
Closest atoms and distances in Å follow each position.
Fractional positions:
1 Zn 0.5000 0.0000 0.0000  6 Cu 2.57-2.61, 4 Al 2.62, 2 Zn 2.74
2 Al 0.0000 0.0000 0.5000  6 Cu 2.55-2.62, 4 Zn 2.62, 2 Al 2.74
3 Cu 0.7488 0.4976 0.7482  3 Al 2.55-2.62, 3 Zn 2.57-2.61, 6 Cu 2.62-2.74
4 Cu 0.2512 0.5024 0.2518  3 Al 2.55-2.62, 3 Zn 2.57-2.61, 6 Cu 2.62-2.74

Results
As for the total magnetic moment: 0.00 Bohr magnetons per cell. The calculation puts the formation energy from the elements at -8.93 kJ/mol of atoms. The value obtained for the density of states at the Fermi level is 1.011 states/eV/cell. The total energy is -14.7 eV for the cell shown. The space-group type is C2/m.